Entry i
## LaAg3Pb (PBE)

Data for LaAg3Pb after structural relaxation. Values from VASP.

Results
Crystal system: cubic
SG: Pm-3m
DOS at the Fermi energy: 5.2 states/eV/f.u.

Quantum ESPRESSO input file:
```
&SYSTEM
  ibrav = 0, nat = 5, ntyp = 3
/
ATOMIC_SPECIES
Ag 107.87 Ag.upf
Pb 207.20 Pb.upf
La 138.91 La.upf
CELL_PARAMETERS angstrom
5.293 0.000 0.000
0.000 5.293 0.000
0.000 0.000 5.293
ATOMIC_POSITIONS angstrom
Ag 0.000 0.000 2.646
Ag 0.000 2.646 0.000
Ag 2.646 0.000 0.000
Pb 0.000 0.000 0.000
La 2.646 2.646 2.646
```



Entry ii
## LaAg3Pb (PBE)

Data for LaAg3Pb after structural relaxation. Values from VASP.

Results
Crystal system: cubic
SG: Pm-3m
DOS at the Fermi energy: 5.2 states/eV/f.u.

Quantum ESPRESSO input file:
```
&SYSTEM
  ibrav = 0, nat = 5, ntyp = 3
/
ATOMIC_SPECIES
Ag 107.87 Ag.upf
La 138.91 La.upf
Pb 207.20 Pb.upf
CELL_PARAMETERS angstrom
5.602 0.000 0.000
0.000 5.602 0.000
0.000 0.000 5.602
ATOMIC_POSITIONS angstrom
Ag 0.000 0.000 2.801
Ag 0.000 2.801 0.000
Ag 2.801 0.000 0.000
La 0.000 0.000 0.000
Pb 2.801 2.801 2.801
```



Most stable = entry i



Entry i
## La6Ag2Pd (PBE)

Data for La6Ag2Pd after structural relaxation. Values from VASP.

Results
Crystal system: monoclinic
SG: P2_1/c
DOS at the Fermi energy: 12.1 states/eV/f.u.

Quantum ESPRESSO input file:
```
&SYSTEM
  ibrav = 0, nat = 18, ntyp = 3
/
ATOMIC_SPECIES
Ag 107.87 Ag.upf
Pd 106.42 Pd.upf
La 138.91 La.upf
CELL_PARAMETERS angstrom
6.547 0.000 0.110
0.000 8.062 0.000
-0.668 0.000 10.817
ATOMIC_POSITIONS angstrom
Ag 0.465 4.927 2.480
Ag 5.414 3.135 8.446
Ag 2.474 0.896 2.983
Ag 3.405 7.166 7.944
Pd 3.273 4.031 0.055
Pd -0.334 0.000 5.408
La 0.673 2.768 4.919
La 5.206 5.294 6.007
La 3.612 1.263 10.383
La 2.267 6.799 0.544
La 0.440 0.323 8.206
La 4.970 5.695 10.286
La 0.909 2.367 0.640
La 3.848 1.664 6.103
La 2.031 6.398 4.823
La 1.832 4.354 8.074
La 4.047 3.708 2.852
La 5.439 7.739 2.721
```



Entry ii
## La6Ag2Pd (PBE)

Data for La6Ag2Pd after structural relaxation. Values from VASP.

Results
Crystal system: orthorhombic
SG: Amm2
DOS at the Fermi energy: 14.4 states/eV/f.u.

Quantum ESPRESSO input file:
```
&SYSTEM
  ibrav = 0, nat = 9, ntyp = 3
/
ATOMIC_SPECIES
Ag 107.87 Ag.upf
La 138.91 La.upf
Pd 106.42 Pd.upf
CELL_PARAMETERS angstrom
3.878 0.000 0.000
0.000 7.964 -4.147
0.000 -0.399 8.970
ATOMIC_POSITIONS angstrom
Ag 0.000 5.176 0.222
Ag 0.000 2.386 4.599
La 0.000 5.652 3.604
La 0.000 -0.100 2.269
La 1.939 3.083 1.966
La 0.000 2.015 -1.049
La 1.939 4.324 6.506
La 1.939 7.723 1.175
Pd 1.939 0.003 0.002
```



Most stable = entry ii



Entry i
## LaAgPd (PBE)

Data for LaAgPd after structural relaxation. Values from VASP.

Results
Crystal system: orthorhombic
SG: Cmcm
DOS at the Fermi energy: 1.8 states/eV/f.u.

Quantum ESPRESSO input file:
```
&SYSTEM
  ibrav = 0, nat = 6, ntyp = 3
/
ATOMIC_SPECIES
Pd 106.42 Pd.upf
La 138.91 La.upf
Ag 107.87 Ag.upf
CELL_PARAMETERS angstrom
-3.785 3.249 1.865
0.931 -1.067 3.749
5.353 4.960 2.224
ATOMIC_POSITIONS angstrom
Pd 0.000 0.000 0.000
Pd -1.893 1.625 0.932
La 0.662 1.563 2.422
La 1.836 5.579 5.415
Ag -0.255 3.227 5.266
Ag 2.754 3.915 2.572
```



Entry ii
## LaAgPd (PBE)

Data for LaAgPd after structural relaxation. Values from VASP.

Results
Crystal system: cubic
SG: F-43m
DOS at the Fermi energy: 1.6 states/eV/f.u.

Quantum ESPRESSO input file:
```
&SYSTEM
  ibrav = 0, nat = 3, ntyp = 3
/
ATOMIC_SPECIES
La 138.91 La.upf
Pd 106.42 Pd.upf
Ag 107.87 Ag.upf
CELL_PARAMETERS angstrom
-3.248 2.195 -2.794
-1.000 -1.760 -4.368
-4.257 -2.086 -0.838
ATOMIC_POSITIONS angstrom
La -4.252 -0.825 -4.000
Pd -2.126 -0.413 -2.000
Ag 0.000 0.000 0.000
```



Most stable = entry ii



Entry i
## LaAgPd2 (PBE)

Data for LaAgPd2 after structural relaxation. Values from VASP.

Results
Crystal system: trigonal
SG: R-3m
DOS at the Fermi energy: 1.2 states/eV/f.u.

Quantum ESPRESSO input file:
```
&SYSTEM
  ibrav = 0, nat = 4, ntyp = 3
/
ATOMIC_SPECIES
Ag 107.87 Ag.upf
Pd 106.42 Pd.upf
La 138.91 La.upf
CELL_PARAMETERS angstrom
4.661 0.000 0.000
2.331 4.037 0.000
2.331 1.346 4.619
ATOMIC_POSITIONS angstrom
Ag 4.661 2.691 2.310
Pd 6.992 4.037 2.947
Pd 2.331 1.346 1.673
La 0.000 0.000 0.000
```



Entry ii
## LaAgPd2 (PBE)

Data for LaAgPd2 after structural relaxation. Values from VASP.

Results
Crystal system: tetragonal
SG: I-42d
DOS at the Fermi energy: 1.4 states/eV/f.u.

Quantum ESPRESSO input file:
```
&SYSTEM
  ibrav = 0, nat = 8, ntyp = 3
/
ATOMIC_SPECIES
Pd 106.42 Pd.upf
Ag 107.87 Ag.upf
La 138.91 La.upf
CELL_PARAMETERS angstrom
4.386 0.000 0.000
0.000 4.386 0.000
2.193 2.193 9.305
ATOMIC_POSITIONS angstrom
Pd 1.262 3.290 2.326
Pd 5.483 5.318 6.979
Pd 3.290 3.455 6.979
Pd 3.124 1.097 2.326
Ag 2.193 4.386 4.652
Ag 2.193 2.193 0.000
La 0.000 0.000 0.000
La 4.386 2.193 4.652
```



Most stable = entry i



Entry i
## La2AgPd2 (PBE)

Data for La2AgPd2 after structural relaxation. Values from VASP.

Results
Crystal system: tetragonal
SG: P4/mbm
DOS at the Fermi energy: 3.6 states/eV/f.u.

Quantum ESPRESSO input file:
```
&SYSTEM
  ibrav = 0, nat = 10, ntyp = 3
/
ATOMIC_SPECIES
Pd 106.42 Pd.upf
Ag 107.87 Ag.upf
La 138.91 La.upf
CELL_PARAMETERS angstrom
-3.608 6.539 -2.441
-2.476 1.370 7.330
3.303 2.093 0.724
ATOMIC_POSITIONS angstrom
Pd -4.700 6.557 2.486
Pd -1.384 1.352 2.404
Pd -2.590 4.291 -0.589
Pd -3.494 3.618 5.479
Ag -3.042 3.955 2.445
Ag 0.000 0.000 0.000
La -2.825 6.585 4.773
La 0.044 3.417 0.841
La -0.644 3.107 4.878
La -2.137 6.895 0.736
```



Entry ii
## La2AgPd2 (PBE)

Data for La2AgPd2 after structural relaxation. Values from VASP.

Results
Crystal system: tetragonal
SG: I4/mmm
DOS at the Fermi energy: 2.0 states/eV/f.u.

Quantum ESPRESSO input file:
```
&SYSTEM
  ibrav = 0, nat = 5, ntyp = 3
/
ATOMIC_SPECIES
Pd 106.42 Pd.upf
Ag 107.87 Ag.upf
La 138.91 La.upf
CELL_PARAMETERS angstrom
3.982 0.000 0.000
0.000 3.982 0.000
1.991 1.991 8.059
ATOMIC_POSITIONS angstrom
Pd 1.991 3.982 4.030
Pd 3.982 1.991 4.030
Ag 0.000 0.000 0.000
La 3.982 3.982 6.236
La 1.991 1.991 1.823
```



Entry iii
## La2AgPd2 (PBE)

Data for La2AgPd2 after structural relaxation. Values from VASP.

Results
Crystal system: tetragonal
SG: P4/mbm
DOS at the Fermi energy: 3.9 states/eV/f.u.

Quantum ESPRESSO input file:
```
&SYSTEM
  ibrav = 0, nat = 10, ntyp = 3
/
ATOMIC_SPECIES
La 138.91 La.upf
Pd 106.42 Pd.upf
Ag 107.87 Ag.upf
CELL_PARAMETERS angstrom
-1.210 8.057 1.707
0.774 -1.607 8.131
3.705 0.606 -0.233
ATOMIC_POSITIONS angstrom
La 0.059 0.795 3.003
La 0.241 1.355 7.358
La -0.495 5.656 6.835
La -0.677 5.095 2.480
Pd 1.770 3.947 8.055
Pd 2.184 0.316 5.193
Pd 1.498 3.109 1.550
Pd 1.084 6.741 4.412
Ag -0.218 3.225 4.919
Ag 0.000 0.000 0.000
```



Most stable = entry i



Entry i
## La3AgPd3 (PBE)

Data for La3AgPd3 after structural relaxation. Values from VASP.

Results
Crystal system: monoclinic
SG: C2/m
DOS at the Fermi energy: 5.2 states/eV/f.u.

Quantum ESPRESSO input file:
```
&SYSTEM
  ibrav = 0, nat = 14, ntyp = 3
/
ATOMIC_SPECIES
Ag 107.87 Ag.upf
La 138.91 La.upf
Pd 106.42 Pd.upf
CELL_PARAMETERS angstrom
-0.207 4.201 0.227
-0.302 1.764 6.146
13.611 2.707 1.424
ATOMIC_POSITIONS angstrom
Ag 7.753 4.242 6.731
Ag 5.347 4.430 1.066
La 12.403 4.666 3.149
La 0.698 4.007 4.649
La 10.110 6.511 5.979
La 8.181 4.463 3.051
La 4.919 4.210 4.747
La 2.991 2.161 1.819
Pd 0.816 4.191 1.357
Pd 2.650 6.173 5.423
Pd 7.158 6.409 5.179
Pd 10.451 2.499 2.375
Pd 12.285 4.482 6.440
Pd 5.943 2.264 2.619
```



Entry ii
## La3AgPd3 (PBE)

Data for La3AgPd3 after structural relaxation. Values from VASP.

Results
Crystal system: hexagonal
SG: P6_3/m
DOS at the Fermi energy: 4.4 states/eV/f.u.

Quantum ESPRESSO input file:
```
&SYSTEM
  ibrav = 0, nat = 14, ntyp = 3
/
ATOMIC_SPECIES
La 138.91 La.upf
Pd 106.42 Pd.upf
Ag 107.87 Ag.upf
CELL_PARAMETERS angstrom
-4.189 -3.477 2.122
6.079 -4.262 5.018
-4.285 7.159 3.270
ATOMIC_POSITIONS angstrom
La -1.112 -3.818 3.615
La -1.700 -1.000 7.071
La -0.694 0.420 3.340
La 1.261 -4.370 7.396
La -1.283 3.238 6.796
La -3.656 3.790 3.015
Pd -2.747 -1.452 4.264
Pd 3.489 -2.770 6.371
Pd 0.891 -2.075 2.381
Pd -5.884 2.190 4.039
Pd -3.286 1.495 8.030
Pd 0.352 0.872 6.146
Ag 1.577 -1.324 4.966
Ag -3.972 0.744 5.444
```



Most stable = entry i



Entry i
## La3AgPd (PBE)

Data for La3AgPd after structural relaxation. Values from VASP.

Results
Crystal system: cubic
SG: Pm-3m
DOS at the Fermi energy: 9.9 states/eV/f.u.

Quantum ESPRESSO input file:
```
&SYSTEM
  ibrav = 0, nat = 5, ntyp = 3
/
ATOMIC_SPECIES
La 138.91 La.upf
Pd 106.42 Pd.upf
Ag 107.87 Ag.upf
CELL_PARAMETERS angstrom
5.665 0.000 0.000
0.000 5.665 0.000
0.000 0.000 5.665
ATOMIC_POSITIONS angstrom
La 0.000 2.832 0.000
La 0.000 0.000 2.832
La 2.832 0.000 0.000
Pd 0.000 0.000 0.000
Ag 2.832 2.832 2.832
```



Entry ii
## La3AgPd (PBE)

Data for La3AgPd after structural relaxation. Values from VASP.

Results
Crystal system: triclinic
SG: P-1
DOS at the Fermi energy: 5.1 states/eV/f.u.

Quantum ESPRESSO input file:
```
&SYSTEM
  ibrav = 0, nat = 10, ntyp = 3
/
ATOMIC_SPECIES
La 138.91 La.upf
Pd 106.42 Pd.upf
Ag 107.87 Ag.upf
CELL_PARAMETERS angstrom
-5.007 -2.940 0.229
4.069 -2.115 -4.879
3.410 -2.293 8.284
ATOMIC_POSITIONS angstrom
La 1.050 -6.053 2.529
La 2.589 -2.936 3.888
La -0.117 -4.413 -0.254
La 2.089 -2.904 -2.893
La 0.383 -4.445 6.527
La 1.422 -1.296 1.105
Pd 3.238 -3.710 6.879
Pd -0.767 -3.639 -3.244
Ag 3.082 -3.970 0.594
Ag -0.610 -3.379 3.041
```



Most stable = entry ii



Entry i
## LaAgPd3 (PBE)

Data for LaAgPd3 after structural relaxation. Values from VASP.

Results
Crystal system: cubic
SG: Pm-3m
DOS at the Fermi energy: 2.2 states/eV/f.u.

Quantum ESPRESSO input file:
```
&SYSTEM
  ibrav = 0, nat = 5, ntyp = 3
/
ATOMIC_SPECIES
Pd 106.42 Pd.upf
Ag 107.87 Ag.upf
La 138.91 La.upf
CELL_PARAMETERS angstrom
5.145 0.000 0.000
0.000 5.145 0.000
0.000 0.000 5.145
ATOMIC_POSITIONS angstrom
Pd 2.572 0.000 0.000
Pd 0.000 0.000 2.572
Pd 0.000 2.572 0.000
Ag 2.572 2.572 2.572
La 0.000 0.000 0.000
```



Entry ii
## LaAgPd3 (PBE)

Data for LaAgPd3 after structural relaxation. Values from VASP.

Results
Crystal system: cubic
SG: Pm-3m
DOS at the Fermi energy: 2.1 states/eV/f.u.

Quantum ESPRESSO input file:
```
&SYSTEM
  ibrav = 0, nat = 5, ntyp = 3
/
ATOMIC_SPECIES
La 138.91 La.upf
Pd 106.42 Pd.upf
Ag 107.87 Ag.upf
CELL_PARAMETERS angstrom
4.934 0.000 0.000
0.000 4.934 0.000
0.000 0.000 4.934
ATOMIC_POSITIONS angstrom
La 2.467 2.467 2.467
Pd 0.000 2.467 0.000
Pd 2.467 0.000 0.000
Pd 0.000 0.000 2.467
Ag 0.000 0.000 0.000
```



Most stable = entry ii



Entry i
## LaPmAgPd (PBE)

Data for LaPmAgPd after structural relaxation. Values from VASP.

Results
Crystal system: orthorhombic
SG: Amm2
DOS at the Fermi energy: 3.4 states/eV/f.u.

Quantum ESPRESSO input file:
```
&SYSTEM
  ibrav = 0, nat = 4, ntyp = 4
/
ATOMIC_SPECIES
Pd 106.42 Pd.upf
La 138.91 La.upf
Pm 145.00 Pm.upf
Ag 107.87 Ag.upf
CELL_PARAMETERS angstrom
-1.734 2.958 1.956
-2.374 -3.221 2.766
5.022 -1.434 2.639
ATOMIC_POSITIONS angstrom
Pd -1.363 -0.124 2.963
La 0.937 -0.100 4.965
Pm 1.135 0.012 0.988
Ag 3.492 0.037 3.040
```



Entry ii
## LaPmAgPd (PBE)

Data for LaPmAgPd after structural relaxation. Values from VASP.

Results
Crystal system: cubic
SG: F-43m
DOS at the Fermi energy: 3.3 states/eV/f.u.

Quantum ESPRESSO input file:
```
&SYSTEM
  ibrav = 0, nat = 4, ntyp = 4
/
ATOMIC_SPECIES
La 138.91 La.upf
Pm 145.00 Pm.upf
Ag 107.87 Ag.upf
Pd 106.42 Pd.upf
CELL_PARAMETERS angstrom
-4.643 -1.001 -2.230
-3.903 -2.026 2.862
-4.175 2.943 1.198
ATOMIC_POSITIONS angstrom
La -6.361 -0.042 0.915
Pm 0.000 0.000 0.000
Ag -3.180 -0.021 0.458
Pd -9.541 -0.063 1.373
```



Most stable = entry i



Entry i
## LaPrAgPd (PBE)

Data for LaPrAgPd after structural relaxation. Values from VASP.

Results
Crystal system: cubic
SG: F-43m
DOS at the Fermi energy: 3.8 states/eV/f.u.

Quantum ESPRESSO input file:
```
&SYSTEM
  ibrav = 0, nat = 4, ntyp = 4
/
ATOMIC_SPECIES
Pd 106.42 Pd.upf
Pr 140.91 Pr.upf
Ag 107.87 Ag.upf
La 138.91 La.upf
CELL_PARAMETERS angstrom
-4.772 -0.022 -2.264
-0.429 -0.357 -5.252
-1.857 -4.426 -2.203
ATOMIC_POSITIONS angstrom
Pd -5.294 -3.603 -7.290
Pr -3.529 -2.402 -4.860
Ag -1.765 -1.201 -2.430
La 0.000 0.000 0.000
```



Entry ii
## LaPrAgPd (PBE)

Data for LaPrAgPd after structural relaxation. Values from VASP.

Results
Crystal system: orthorhombic
SG: Amm2
DOS at the Fermi energy: 3.7 states/eV/f.u.

Quantum ESPRESSO input file:
```
&SYSTEM
  ibrav = 0, nat = 4, ntyp = 4
/
ATOMIC_SPECIES
Pr 140.91 Pr.upf
Pd 106.42 Pd.upf
Ag 107.87 Ag.upf
La 138.91 La.upf
CELL_PARAMETERS angstrom
-3.455 0.753 1.812
2.137 -0.445 4.259
2.923 5.165 -0.928
ATOMIC_POSITIONS angstrom
Pr 0.204 4.156 3.020
Pd -0.462 1.070 3.032
Ag 1.002 4.646 -0.018
La 0.327 1.517 -0.006
```



Most stable = entry ii



Entry i
## LaPm4Ag (PBE)

Data for LaPm4Ag after structural relaxation. Values from VASP.

Results
Crystal system: orthorhombic
SG: Cmc2_1
DOS at the Fermi energy: 7.9 states/eV/f.u.

Quantum ESPRESSO input file:
```
&SYSTEM
  ibrav = 0, nat = 12, ntyp = 3
/
ATOMIC_SPECIES
Pm 145.00 Pm.upf
La 138.91 La.upf
Ag 107.87 Ag.upf
CELL_PARAMETERS angstrom
-2.812 -0.125 4.820
6.421 -5.286 3.608
5.318 6.486 0.038
ATOMIC_POSITIONS angstrom
Pm 3.151 3.996 5.173
Pm 6.729 0.952 3.950
Pm 0.758 1.308 3.708
Pm 8.504 -1.840 4.913
Pm 1.659 -2.257 4.141
Pm 9.921 1.148 5.817
Pm 5.343 -2.565 3.050
Pm 3.613 0.289 5.346
La 6.740 0.345 7.172
La 3.076 -0.002 1.794
Ag 4.561 2.655 2.729
Ag 5.078 -2.165 6.137
```



Entry ii
## LaPm4Ag (PBE)

Data for LaPm4Ag after structural relaxation. Values from VASP.

Results
Crystal system: tetragonal
SG: P4/mmm
DOS at the Fermi energy: 10.1 states/eV/f.u.

Quantum ESPRESSO input file:
```
&SYSTEM
  ibrav = 0, nat = 6, ntyp = 3
/
ATOMIC_SPECIES
La 138.91 La.upf
Pm 145.00 Pm.upf
Ag 107.87 Ag.upf
CELL_PARAMETERS angstrom
3.698 0.000 0.000
0.000 3.698 0.000
0.000 0.000 14.150
ATOMIC_POSITIONS angstrom
La 0.000 0.000 0.000
Pm 0.000 0.000 8.967
Pm 1.849 1.849 2.606
Pm 1.849 1.849 11.545
Pm 0.000 0.000 5.183
Ag 1.849 1.849 7.075
```



Most stable = entry ii



Entry i
## La2Pm3Ag2 (PBE)

Data for La2Pm3Ag2 after structural relaxation. Values from VASP.

Results
Crystal system: orthorhombic
SG: Cmmm
DOS at the Fermi energy: 9.2 states/eV/f.u.

Quantum ESPRESSO input file:
```
&SYSTEM
  ibrav = 0, nat = 7, ntyp = 3
/
ATOMIC_SPECIES
Pm 145.00 Pm.upf
La 138.91 La.upf
Ag 107.87 Ag.upf
CELL_PARAMETERS angstrom
-2.201 0.685 2.860
0.395 -3.477 1.136
11.582 4.635 10.161
ATOMIC_POSITIONS angstrom
Pm 0.810 1.704 4.933
Pm 0.000 0.000 0.000
Pm 8.571 3.616 8.088
La 5.557 1.505 8.633
La 4.219 0.337 5.524
Ag 9.168 2.727 11.119
Ag 0.608 -0.885 3.038
```



Entry ii
## La2Pm3Ag2 (PBE)

Data for La2Pm3Ag2 after structural relaxation. Values from VASP.

Results
Crystal system: monoclinic
SG: C2/m
DOS at the Fermi energy: 9.2 states/eV/f.u.

Quantum ESPRESSO input file:
```
&SYSTEM
  ibrav = 0, nat = 7, ntyp = 3
/
ATOMIC_SPECIES
Ag 107.87 Ag.upf
Pm 145.00 Pm.upf
La 138.91 La.upf
CELL_PARAMETERS angstrom
-2.696 2.708 -0.546
0.564 -3.394 -5.978
-5.554 -4.211 6.541
ATOMIC_POSITIONS angstrom
Ag -6.144 -3.241 0.613
Ag -1.542 -1.655 -0.596
Pm -4.015 -0.996 1.240
Pm -1.348 1.354 -0.273
Pm -3.671 -3.900 -1.223
La -4.756 -4.035 3.471
La -2.930 -0.861 -3.454
```



Most stable = entry ii